# HgRh PBE relaxed
data_HgRh
_chemical_formula_sum 'Hg4 Rh4'
_symmetry_space_group_name_H-M 'P 1'
_symmetry_Int_Tables_number 1
_cell_length_a 5.347
_cell_length_b 5.347
_cell_length_c 5.472
_cell_angle_alpha 90.00
_cell_angle_beta 90.00
_cell_angle_gamma 90.00
loop_
_symmetry_equiv_pos_as_xyz
'x,y,z'
loop_
_atom_site_label
_atom_site_fract_x
_atom_site_fract_y
_atom_site_fract_z
Hg1 0.193 0.193 0.000
Hg2 0.307 0.693 0.500
Hg3 0.693 0.307 0.500
Hg4 0.807 0.807 0.000
Rh1 0.185 0.185 0.500
Rh2 0.315 0.685 0.000
Rh3 0.685 0.315 0.000
Rh4 0.815 0.815 0.500
# - Total energy: -3.332 eV per atom
# - Total moment: 0.00 μB/atom

***

# ErPaNiAu PBE relaxed
data_ErPaNiAu
_chemical_formula_sum 'Er4 Pa4 Ni4 Au4'
_symmetry_space_group_name_H-M 'P 1'
_symmetry_Int_Tables_number 1
_cell_length_a 6.992
_cell_length_b 6.992
_cell_length_c 6.992
_cell_angle_alpha 90.00
_cell_angle_beta 90.00
_cell_angle_gamma 90.00
loop_
_symmetry_equiv_pos_as_xyz
'x,y,z'
loop_
_atom_site_label
_atom_site_fract_x
_atom_site_fract_y
_atom_site_fract_z
Er1 0.000 0.000 0.000
Er2 0.000 0.500 0.500
Er3 0.500 0.000 0.500
Er4 0.500 0.500 0.000
Pa1 0.000 0.000 0.500
Pa2 0.000 0.500 0.000
Pa3 0.500 0.000 0.000
Pa4 0.500 0.500 0.500
Ni1 0.250 0.250 0.750
Ni2 0.250 0.750 0.250
Ni3 0.750 0.250 0.250
Ni4 0.750 0.750 0.750
Au1 0.250 0.250 0.250
Au2 0.250 0.750 0.750
Au3 0.750 0.250 0.750
Au4 0.750 0.750 0.250
# - Total energy: -6.076 eV per atom
# - Total moment: 0.00 μB/atom

***

# BaCaGa2 PBE relaxed
data_BaCaGa2
_chemical_formula_sum 'Ba4 Ca4 Ga8'
_symmetry_space_group_name_H-M 'P 1'
_symmetry_Int_Tables_number 1
_cell_length_a 8.290
_cell_length_b 7.439
_cell_length_c 8.424
_cell_angle_alpha 90.00
_cell_angle_beta 90.00
_cell_angle_gamma 90.00
loop_
_symmetry_equiv_pos_as_xyz
'x,y,z'
loop_
_atom_site_label
_atom_site_fract_x
_atom_site_fract_y
_atom_site_fract_z
Ba1 0.020 0.250 0.170
Ba2 0.480 0.750 0.670
Ba3 0.520 0.250 0.330
Ba4 0.980 0.750 0.830
Ca1 0.174 0.250 0.678
Ca2 0.326 0.750 0.178
Ca3 0.674 0.250 0.822
Ca4 0.826 0.750 0.322
Ga1 0.141 0.575 0.453
Ga2 0.141 0.925 0.453
Ga3 0.359 0.075 0.953
Ga4 0.359 0.425 0.953
Ga5 0.641 0.575 0.047
Ga6 0.641 0.925 0.047
Ga7 0.859 0.075 0.547
Ga8 0.859 0.425 0.547
# - Total energy: -2.895 eV per atom
# - Total moment: 0.00 μB/atom

***

# AgPd2S PBE relaxed
data_AgPd2S
_chemical_formula_sum 'Ag3 Pd6 S3'
_symmetry_space_group_name_H-M 'P 1'
_symmetry_Int_Tables_number 1
_cell_length_a 3.055
_cell_length_b 3.055
_cell_length_c 24.059
_cell_angle_alpha 90.00
_cell_angle_beta 90.00
_cell_angle_gamma 120.00
loop_
_symmetry_equiv_pos_as_xyz
'x,y,z'
loop_
_atom_site_label
_atom_site_fract_x
_atom_site_fract_y
_atom_site_fract_z
Ag1 0.000 0.000 0.000
Ag2 0.333 0.667 0.667
Ag3 0.667 0.333 0.333
Pd1 0.000 0.000 0.239
Pd2 0.000 0.000 0.428
Pd3 0.333 0.667 0.094
Pd4 0.333 0.667 0.906
Pd5 0.667 0.333 0.572
Pd6 0.667 0.333 0.761
S1 0.000 0.000 0.833
S2 0.333 0.667 0.499
S3 0.667 0.333 0.166
# - Total energy: -4.353 eV per atom
# - Total moment: 0.00 μB/atom
# - Raw formation energy: -0.05 eV per formula unit